# NaInF | Alexandria | PBE-GGA | optimized geometry
data_NaInF
_chemical_formula_sum 'Na1 In1 F1'
_cell_length_a 3.4607
_cell_length_b 3.4607
_cell_length_c 6.4994
_cell_angle_alpha 90.00
_cell_angle_beta 90.00
_cell_angle_gamma 120.00
_symmetry_space_group_name_H-M 'P 3 m 1'
_symmetry_Int_Tables_number 156
loop_
_symmetry_equiv_pos_as_xyz
'x,y,z'
'-y,x-y,z'
'-x+y,-x,z'
'-y,-x,z'
'-x+y,y,z'
'x,x-y,z'
loop_
_atom_site_label
_atom_site_fract_x
_atom_site_fract_y
_atom_site_fract_z
Na1 0.0000 0.0000 0.0000
In1 0.3333 0.6667 0.5033
F1 0.6667 0.3333 0.1181
# Uncorrected formation energy: -418 kJ/mol of formula units
# Relative energy among the computed polymorphs: 133 meV per atom
# Calculated density: 3.86 g/cm³